DFT (PBE-GGA) results for a relaxed structure of K2YBr5.

Geometry as POSCAR:
```
K2YBr5
1.0
2.883 -8.306 0.000
2.883 8.306 0.000
0.000 0.000 15.068
K Y Br
4 2 10
Cartesian
2.883 5.896 8.501
2.883 5.896 14.101
2.883 -5.896 0.967
2.883 -5.896 6.567
2.883 5.580 3.767
2.883 -5.580 11.301
2.883 7.568 1.865
2.883 7.568 5.669
2.883 3.668 1.672
2.883 3.668 5.862
2.883 3.111 11.301
2.883 -3.111 3.767
2.883 -3.668 9.206
2.883 -3.668 13.396
2.883 -7.568 9.399
2.883 -7.568 13.203
```

DFT total energy ... -3.933 eV per atom
Total magnetic moment ... 0.0 μB/cell
E_form (uncorrected) ... -1804.8 meV/atom
Distance to the lowest polymorph of the same formula ... 25 meV/atom
Space-group type ... No. 63



DFT (PBE-GGA) results for a relaxed structure of KY2Br.

Geometry as POSCAR:
```
KY2Br
1.0
3.646 0.000 0.000
0.000 3.646 0.000
0.000 0.000 10.363
K Y Br
1 2 1
Cartesian
0.000 0.000 0.000
0.000 0.000 5.906
1.823 1.823 3.512
1.823 1.823 8.031
```

DFT total energy ... -4.402 eV per atom
Total magnetic moment ... 0.9 μB/cell
E_form (uncorrected) ... -477.7 meV/atom
Distance to the lowest polymorph of the same formula ... 33 meV/atom
Space-group type ... No. 99